1.
First-principles (PBE) data for a relaxed structure of Tl8ZnBi2, as listed in Alexandria via LeMat-Bulk.

Summary:
V, Å³/atom: 33.519
VASP energy, eV per atom: -2.449
Energy of formation, eV/atom: 0.094

The structure in CIF format:
```
data_Tl8ZnBi2
_chemical_formula_sum 'Tl16 Zn2 Bi4'
_space_group_name_H-M_alt 'C 1 2/m 1'
_space_group_IT_number 12
_space_group_name_Hall '-C 2y'
_cell_length_a 11.5454
_cell_length_b 9.3613
_cell_length_c 7.7633
_cell_angle_alpha 90.00
_cell_angle_beta 118.49
_cell_angle_gamma 90.00
loop_
_atom_site_label
_atom_site_type_symbol
_atom_site_fract_x
_atom_site_fract_y
_atom_site_fract_z
_atom_site_occupancy
Tl1 Tl 0.0710 0.0000 0.2812 1
Tl2 Tl 0.0966 0.5000 0.2322 1
Tl3 Tl 0.1685 0.2386 0.6557 1
Zn1 Zn 0.0000 0.5000 0.5000 1
Bi1 Bi 0.2420 0.0000 0.0337 1
```



2.
First-principles (PBE) data for a relaxed structure of InSnCl3, as listed in Alexandria via LeMat-Bulk.

Summary:
V, Å³/atom: 31.804
VASP energy, eV per atom: -3.385

The structure in CIF format:
```
data_InSnCl3
_chemical_formula_sum 'In4 Sn4 Cl12'
_space_group_name_H-M_alt 'P n m a'
_space_group_IT_number 62
_space_group_name_Hall '-P 2ac 2n'
_cell_length_a 7.9551
_cell_length_b 10.8515
_cell_length_c 7.3685
_cell_angle_alpha 90.00
_cell_angle_beta 90.00
_cell_angle_gamma 90.00
loop_
_atom_site_label
_atom_site_type_symbol
_atom_site_fract_x
_atom_site_fract_y
_atom_site_fract_z
_atom_site_occupancy
In1 In 0.0697 0.2500 0.0258 1
Sn1 Sn 0.0000 0.0000 0.5000 1
Cl1 Cl 0.0360 0.7500 0.3851 1
Cl2 Cl 0.1930 0.5551 0.8166 1
```



no.,total moment (μB per formula unit)
1,0.00
2,0.00